Compound: PmPrFe
Source: Alexandria
Functional: PBE
Structure: relaxed

Volume in Å³/f.u.: 84.3
E_form in eV/atom: 0.1525

Geometry as CIF:
```
data_PmPrFe
_chemical_formula_sum 'Pm4 Pr4 Fe4'
_symmetry_space_group_name_H-M 'P n m a'
_symmetry_Int_Tables_number 62
_cell_length_a 12.518
_cell_length_b 3.884
_cell_length_c 6.934
_cell_angle_alpha 90.00
_cell_angle_beta 90.00
_cell_angle_gamma 90.00
loop_
_symmetry_equiv_pos_as_xyz
'x,y,z'
'-x,-y,-z'
'-x+1/2,-y,z+1/2'
'x+1/2,y,-z+1/2'
'x+1/2,-y+1/2,-z+1/2'
'-x+1/2,y+1/2,z+1/2'
'-x,y+1/2,-z'
'x,-y+1/2,z'
loop_
_atom_site_label
_atom_site_type_symbol
_atom_site_fract_x
_atom_site_fract_y
_atom_site_fract_z
_atom_site_occupancy
Pm1 Pm 0.067 0.250 0.171 1
Pr1 Pr 0.186 0.250 0.668 1
Fe1 Fe 0.042 0.750 0.460 1
```


Compound: Rb2LiPuCl4O2
Source: Alexandria
Functional: PBE
Structure: relaxed

Volume in Å³/f.u.: 271.1
Polymorph energy (0 for the lowest one) in eV/atom: 0.000

Geometry as CIF:
```
data_Rb2LiPuCl4O2
_chemical_formula_sum 'Rb2 Li1 Pu1 Cl4 O2'
_symmetry_space_group_name_H-M 'P 1'
_symmetry_Int_Tables_number 1
_cell_length_a 6.677
_cell_length_b 6.864
_cell_length_c 6.887
_cell_angle_alpha 110.99
_cell_angle_beta 90.42
_cell_angle_gamma 111.30
loop_
_symmetry_equiv_pos_as_xyz
'x,y,z'
loop_
_atom_site_label
_atom_site_type_symbol
_atom_site_fract_x
_atom_site_fract_y
_atom_site_fract_z
_atom_site_occupancy
Rb1 Rb 0.000 0.000 0.000 1
Rb2 Rb 0.404 0.934 0.464 1
Li1 Li 0.586 0.358 0.075 1
Pu1 Pu 0.226 0.483 0.746 1
Cl1 Cl 0.459 0.438 0.410 1
Cl2 Cl 0.496 0.943 0.982 1
Cl3 Cl 0.943 0.051 0.514 1
Cl4 Cl 0.969 0.516 0.065 1
O1 O 0.081 0.602 0.630 1
O2 O 0.379 0.368 0.870 1
```


Compound: U2PaN
Source: Alexandria
Functional: PBE
Structure: relaxed

Volume in Å³/f.u.: 74.0
Polymorph energy (0 for the lowest one) in eV/atom: 0.670

Geometry as CIF:
```
data_U2PaN
_chemical_formula_sum 'U2 Pa1 N1'
_symmetry_space_group_name_H-M 'P 4/m m m'
_symmetry_Int_Tables_number 123
_symmetry_space_group_name_Hall '-P 4 2'
_cell_length_a 4.866
_cell_length_b 4.866
_cell_length_c 3.126
_cell_angle_alpha 90.00
_cell_angle_beta 90.00
_cell_angle_gamma 90.00
loop_
_atom_site_label
_atom_site_type_symbol
_atom_site_fract_x
_atom_site_fract_y
_atom_site_fract_z
_atom_site_occupancy
U1 U 0.000 0.500 0.000 1
Pa1 Pa 0.000 0.000 0.500 1
N1 N 0.500 0.500 0.500 1
```


Compound: La3Nd3Sc
Source: Alexandria
Functional: PBE
Structure: relaxed

Volume in Å³/f.u.: 246.7
E_form in eV/atom: 0.1581
Polymorph energy (0 for the lowest one) in eV/atom: 0.108

Geometry as CIF:
```
data_La3Nd3Sc
_chemical_formula_sum 'La12 Nd12 Sc4'
_symmetry_space_group_name_H-M 'C m m m'
_symmetry_Int_Tables_number 65
_symmetry_space_group_name_Hall '-C 2 2'
_cell_length_a 11.374
_cell_length_b 11.867
_cell_length_c 7.310
_cell_angle_alpha 90.00
_cell_angle_beta 90.00
_cell_angle_gamma 90.00
loop_
_atom_site_label
_atom_site_type_symbol
_atom_site_fract_x
_atom_site_fract_y
_atom_site_fract_z
_atom_site_occupancy
La1 La 0.000 0.000 0.243 1
La2 La 0.250 0.250 0.242 1
Nd1 Nd 0.000 0.280 0.500 1
Nd2 Nd 0.181 0.500 0.000 1
Nd3 Nd 0.214 0.500 0.500 1
Sc1 Sc 0.000 0.262 0.000 1
```


Compound: CsAlIr2Pd
Source: Alexandria
Functional: PBE
Structure: relaxed

Volume in Å³/f.u.: 137.1
E_form in eV/atom: 2.7137

Geometry as CIF:
```
data_CsAlIr2Pd
_chemical_formula_sum 'Cs1 Al1 Ir2 Pd1'
_symmetry_space_group_name_H-M 'P 4/m m m'
_symmetry_Int_Tables_number 123
_symmetry_space_group_name_Hall '-P 4 2'
_cell_length_a 5.001
_cell_length_b 5.001
_cell_length_c 5.482
_cell_angle_alpha 90.00
_cell_angle_beta 90.00
_cell_angle_gamma 90.00
loop_
_atom_site_label
_atom_site_type_symbol
_atom_site_fract_x
_atom_site_fract_y
_atom_site_fract_z
_atom_site_occupancy
Cs1 Cs 0.000 0.000 0.000 1
Al1 Al 0.000 0.000 0.500 1
Ir1 Ir 0.000 0.500 0.000 1
Pd1 Pd 0.500 0.500 0.500 1
```


Compound: TiCNO2
Source: Alexandria
Functional: PBE
Structure: relaxed

Total energy in eV per atom: -7.0095
Volume in Å³/f.u.: 41.1

Geometry as CIF:
```
data_TiCNO2
_chemical_formula_sum 'Ti1 C1 N1 O2'
_symmetry_space_group_name_H-M 'P 4/m m m'
_symmetry_Int_Tables_number 123
_symmetry_space_group_name_Hall '-P 4 2'
_cell_length_a 4.014
_cell_length_b 4.014
_cell_length_c 2.551
_cell_angle_alpha 90.00
_cell_angle_beta 90.00
_cell_angle_gamma 90.00
loop_
_atom_site_label
_atom_site_type_symbol
_atom_site_fract_x
_atom_site_fract_y
_atom_site_fract_z
_atom_site_occupancy
Ti1 Ti 0.000 0.000 0.000 1
C1 C 0.500 0.500 0.500 1
N1 N 0.500 0.500 0.000 1
O1 O 0.000 0.500 0.500 1
```


Compound: LiHfB
Source: Alexandria
Functional: PBE
Structure: relaxed

Volume in Å³/f.u.: 38.2
E_form in eV/atom: -0.0579
Polymorph energy (0 for the lowest one) in eV/atom: 0.298

Geometry as CIF:
```
data_LiHfB
_chemical_formula_sum 'Li4 Hf4 B4'
_symmetry_space_group_name_H-M 'C 1 m 1'
_symmetry_Int_Tables_number 8
_cell_length_a 8.815
_cell_length_b 4.018
_cell_length_c 4.442
_cell_angle_alpha 90.00
_cell_angle_beta 103.81
_cell_angle_gamma 90.00
loop_
_symmetry_equiv_pos_as_xyz
'x,y,z'
'x,-y,z'
'x+1/2,y+1/2,z'
'x+1/2,-y+1/2,z'
loop_
_atom_site_label
_atom_site_type_symbol
_atom_site_fract_x
_atom_site_fract_y
_atom_site_fract_z
_atom_site_occupancy
Li1 Li 0.000 0.000 0.000 1
Li2 Li 0.000 0.000 0.500 1
Hf1 Hf 0.196 0.500 0.219 1
Hf2 Hf 0.304 0.000 0.784 1
B1 B 0.074 0.500 0.675 1
B2 B 0.426 0.000 0.329 1
```


Compound: K2InI2
Source: Alexandria
Functional: PBE
Structure: relaxed

Volume in Å³/f.u.: 272.2
Polymorph energy (0 for the lowest one) in eV/atom: 0.111

Geometry as CIF:
```
data_K2InI2
_chemical_formula_sum 'K4 In2 I4'
_symmetry_space_group_name_H-M 'I 4/m m m'
_symmetry_Int_Tables_number 139
_symmetry_space_group_name_Hall '-I 4 2'
_cell_length_a 6.401
_cell_length_b 6.401
_cell_length_c 13.289
_cell_angle_alpha 90.00
_cell_angle_beta 90.00
_cell_angle_gamma 90.00
loop_
_atom_site_label
_atom_site_type_symbol
_atom_site_fract_x
_atom_site_fract_y
_atom_site_fract_z
_atom_site_occupancy
K1 K 0.000 0.000 0.162 1
In1 In 0.000 0.000 0.500 1
I1 I 0.000 0.500 0.250 1
```


- Which of these has the lowest volume?
  LiHfB


- Among the records above, which one has the highest volume?
  K2InI2